The following is a meta-GGA SCAN calculation of a crystal of ZnTc2 relaxed with PBEsol, from the Alexandria database.

Results
formation energy from the elements	-0.0292	eV/atom
space-group type	No. 164
total magnetic moment	0.0	Bohr magnetons per cell
N(E_F)	0.46	states/eV/atom

a b c (Å): 2.727 2.727 6.510
angles (deg): 90.00 90.00 120.00
Fractional coordinates of all 3 atoms:
Tc  0.667  0.333  0.345
Tc  0.333  0.667  0.655
Zn  0.000  0.000  0.000